VASP calculation (PBE) on a relaxed LiY3S crystal.

Computed properties:
As for the total energy: -0.208 hartree per atom. As for the formation energy from raw total energies: -0.5701 eV per atom. The value obtained for the excess energy over the best structure of this formula in the dataset is 0 meV/atom. Its space group is Pm-3m, No. 221.

Cell: 5.265 5.265 5.265 Å, 90.00 90.00 90.00°
Element x y z (fractional)
1 Y 0.000 0.500 0.000
2 Y 0.000 0.000 0.500
3 Y 0.500 0.000 0.000
4 S 0.000 0.000 0.000
5 Li 0.500 0.500 0.500

=====

VASP calculation (PBE) on a relaxed LiYS2 crystal.

Computed properties:
As for the total energy: -0.218 hartree per atom. As for the formation energy from raw total energies: -1.7758 eV per atom. Its space group is P4/mmm, No. 123.

Cell: 3.924 3.924 5.321 Å, 90.00 90.00 90.00°
Element x y z (fractional)
1 Y 0.000 0.000 0.000
2 S 0.500 0.500 0.000
3 S 0.000 0.000 0.500
4 Li 0.500 0.500 0.500

=====

VASP calculation (PBE) on a relaxed LiYS2 crystal.

Computed properties:
As for the total energy: -0.214 hartree per atom. As for the formation energy from raw total energies: -1.6538 eV per atom. Its space group is I-42d, No. 122.

Cell: 5.818 5.818 7.362 Å, 66.72 66.72 90.00°
Element x y z (fractional)
1 Y 0.000 0.000 0.000
2 Y 0.750 0.250 0.500
3 S 0.610 0.125 0.250
4 S 0.140 0.625 0.250
5 S 0.375 0.390 0.750
6 S 0.875 0.860 0.750
7 Li 0.500 0.500 0.000
8 Li 0.250 0.750 0.500